Ho7ErTl3 after structural relaxation. Source: Alexandria, functional PBE.

Structure (CIF):
```
data_Ho7ErTl3
_chemical_formula_sum 'Ho7 Er1 Tl3'
_symmetry_space_group_name_H-M 'P 1'
_symmetry_Int_Tables_number 1
_symmetry_space_group_name_Hall 'P 1'
_cell_length_a 5.976
_cell_length_b 7.897
_cell_length_c 7.897
_cell_angle_alpha 94.41
_cell_angle_beta 106.30
_cell_angle_gamma 106.30
loop_
_atom_site_label
_atom_site_type_symbol
_atom_site_fract_x
_atom_site_fract_y
_atom_site_fract_z
Ho1 Ho 0.157 0.174 0.174
Ho2 Ho 0.296 0.026 0.605
Ho3 Ho 0.704 0.395 0.974
Ho4 Ho 0.296 0.605 0.026
Ho5 Ho 0.000 0.500 0.500
Ho6 Ho 0.704 0.974 0.395
Ho7 Ho 0.843 0.826 0.826
Er1 Er 0.500 0.500 0.500
Tl1 Tl 0.000 0.766 0.234
Tl2 Tl 0.500 0.000 0.000
Tl3 Tl 0.000 0.234 0.766
```

## Properties
* spin magnetization: 0.000 μB per atom
* electronic total energy: -43.22 eV for the cell shown
* energy of formation from the pure elements: 0.044 eV/atom